Compound: HoZnCo2O6
Source: Alexandria
Functional: GGA+U
Structure: optimized geometry

Cell: 5.1462 5.3186 9.0874 Å, 90.00 124.41 90.00°
Element x y z (fractional)
Ho 0.0000 0.1844 0.0000
Ho 0.0000 0.8156 0.5000
Zn 0.5424 0.2930 0.5107
Zn 0.5424 0.7070 0.0107
Co 0.2704 0.2525 0.7529
Co 0.2704 0.7475 0.2529
Co 0.7732 0.2696 0.2537
Co 0.7732 0.7304 0.7537
O 0.1545 0.2168 0.5104
O 0.1545 0.7832 0.0104
O 0.4054 0.3056 0.9904
O 0.4054 0.6944 0.4904
O 0.5109 0.0565 0.3143
O 0.5109 0.9435 0.8143
O 0.6195 0.4471 0.8005
O 0.6195 0.5529 0.3005
O 0.9085 0.0491 0.6988
O 0.9085 0.9509 0.1988
O 0.9980 0.4731 0.1786
O 0.9980 0.5269 0.6786

## Properties
As for the uncorrected energy: -6.14 eV/atom. Its crystal system is monoclinic.